Density functional theory data (PBE) for a relaxed La8Pr3Sm3 crystal.

Geometry as extended XYZ:
```
14
Lattice="-3.6357 -0.1711 -4.5285 3.4230 -7.0790 -6.2077 -8.5823 -3.9663 3.3131" Properties=species:S:1:pos:R:3 pbc="T T T"
Pr -4.8610 -8.9167 -3.2144
Pr -4.3975 -5.6082 -3.7116
La -6.9038 -3.1921 -1.7907
La -1.0594 -4.0904 -2.7219
Sm -6.4383 -4.5222 1.6128
Sm -1.8178 -0.0855 -2.2643
La -7.3813 -6.6007 -1.2785
La -3.6060 -3.4301 -0.7024
La -5.1890 -7.7862 -6.7208
La -1.4136 -4.6156 -6.1446
La -7.7355 -7.1259 -4.7013
Pr -3.9339 -2.2997 -4.2087
La -1.8912 -8.0242 -5.6324
Sm 1.2790 -6.5231 -4.5074
```

Properties
The energy is -4.76 eV per atom. Its formation energy from the elements is 0.09 eV per atom.